Arrangement P

! Mg2Al2As | the Alexandria database | PBE | optimized geometry; values from VASP
&SYSTEM
  ibrav = 0, nat = 10, ntyp = 3
/
ATOMIC_SPECIES
As 74.92 As.upf
Al 26.98 Al.upf
Mg 24.30 Mg.upf
ATOMIC_POSITIONS crystal
As 0.000 0.000 0.000
As 0.500 0.500 0.000
Al 0.137 0.363 0.000
Mg 0.664 0.836 0.500
Mg 0.836 0.336 0.500
Mg 0.336 0.164 0.500
Al 0.637 0.137 0.000
Al 0.363 0.863 0.000
Mg 0.164 0.664 0.500
Al 0.863 0.637 0.000
CELL_PARAMETERS angstrom
6.818 0.000 0.000
0.000 6.818 0.000
0.000 0.000 4.420
! Theoretical density (g/cm3): 2.87
! Total magnetic moment (μB per cell): 0.0
! Symmetry: P4/mbm (127)

Arrangement Q

! Mg2Al2As | the Alexandria database | PBE | optimized geometry; values from VASP
&SYSTEM
  ibrav = 0, nat = 5, ntyp = 3
/
ATOMIC_SPECIES
Mg 24.30 Mg.upf
Al 26.98 Al.upf
As 74.92 As.upf
ATOMIC_POSITIONS crystal
Mg 0.750 0.250 0.500
Mg 0.250 0.750 0.500
Al 0.405 0.405 0.000
Al 0.595 0.595 0.000
As 0.000 0.000 0.000
CELL_PARAMETERS angstrom
-2.049 2.049 6.408
2.049 -2.049 6.408
2.049 2.049 -6.408
! Theoretical density (g/cm3): 2.74
! Total magnetic moment (μB per cell): 0.0
! Symmetry: I4/mmm (139)

Most favorable structure: arrangement P. The second most favorable one is 0.260 eV/atom above it.

Arrangement P

! MgAlAs2 | the Alexandria database | PBE | optimized geometry; values from VASP
&SYSTEM
  ibrav = 0, nat = 4, ntyp = 3
/
ATOMIC_SPECIES
Al 26.98 Al.upf
As 74.92 As.upf
Mg 24.30 Mg.upf
ATOMIC_POSITIONS crystal
Al 0.000 0.500 0.500
As 0.500 0.500 0.000
As 0.000 0.000 0.000
Mg 0.500 0.000 0.500
CELL_PARAMETERS angstrom
4.082 0.000 0.000
0.000 4.978 0.000
0.000 0.000 3.732
! Theoretical density (g/cm3): 4.40
! Total magnetic moment (μB per cell): 0.0
! Symmetry: Pmmm (47)

Arrangement Q

! MgAlAs2 | the Alexandria database | PBE | optimized geometry; values from VASP
&SYSTEM
  ibrav = 0, nat = 4, ntyp = 3
/
ATOMIC_SPECIES
As 74.92 As.upf
Mg 24.30 Mg.upf
Al 26.98 Al.upf
ATOMIC_POSITIONS crystal
As 0.000 0.000 0.990
As 0.000 0.000 0.510
Mg 0.500 0.500 0.250
Al 0.500 0.500 0.750
CELL_PARAMETERS angstrom
-0.091 2.493 2.050
-1.787 -1.746 2.045
6.004 -2.407 3.193
! Theoretical density (g/cm3): 4.44
! Total magnetic moment (μB per cell): 0.0
! Symmetry: P4/mmm (123)

Arrangement R

! MgAlAs2 | the Alexandria database | PBE | optimized geometry; values from VASP
&SYSTEM
  ibrav = 0, nat = 4, ntyp = 3
/
ATOMIC_SPECIES
As 74.92 As.upf
Mg 24.30 Mg.upf
Al 26.98 Al.upf
ATOMIC_POSITIONS crystal
As 0.000 0.000 0.951
As 0.500 0.500 0.296
Mg 0.000 0.000 0.506
Al 0.500 0.500 0.747
CELL_PARAMETERS angstrom
-0.953 -2.697 -0.541
1.601 -0.078 -2.429
7.304 -3.568 4.929
! Theoretical density (g/cm3): 4.15
! Total magnetic moment (μB per cell): 0.0
! Symmetry: P4mm (99)

Most favorable structure: arrangement P. The second most favorable one is 0.011 eV/atom above it.

Arrangement P

! MgAlAs2 | the Alexandria database | PBE | optimized geometry; values from VASP
&SYSTEM
  ibrav = 0, nat = 4, ntyp = 3
/
ATOMIC_SPECIES
Mg 24.30 Mg.upf
As 74.92 As.upf
Al 26.98 Al.upf
ATOMIC_POSITIONS crystal
Mg 0.500 0.500 0.000
As 0.250 0.750 0.500
Al 0.750 0.250 0.500
As 0.000 0.000 0.000
CELL_PARAMETERS angstrom
-4.721 -0.999 3.246
-3.767 -4.326 -0.957
5.703 1.034 0.477
! Theoretical density (g/cm3): 4.39
! Total magnetic moment (μB per cell): 0.0
! Symmetry: I-4m2 (119)

Arrangement Q

! MgAlAs2 | the Alexandria database | PBE | optimized geometry; values from VASP
&SYSTEM
  ibrav = 0, nat = 4, ntyp = 3
/
ATOMIC_SPECIES
Mg 24.30 Mg.upf
As 74.92 As.upf
Al 26.98 Al.upf
ATOMIC_POSITIONS crystal
Mg 0.750 0.750 0.750
As 0.996 0.996 0.022
Al 0.250 0.250 0.250
As 0.504 0.504 0.478
CELL_PARAMETERS angstrom
3.718 0.043 -0.026
1.921 3.184 -0.026
1.818 1.040 6.680
! Theoretical density (g/cm3): 4.24
! Total magnetic moment (μB per cell): 0.0
! Symmetry: C2/m (12)

Most favorable structure: arrangement Q. The second most favorable one is 0.246 eV/atom above it.

Arrangement P

! MgAlAs2 | the Alexandria database | PBE | optimized geometry; values from VASP
&SYSTEM
  ibrav = 0, nat = 4, ntyp = 3
/
ATOMIC_SPECIES
Mg 24.30 Mg.upf
Al 26.98 Al.upf
As 74.92 As.upf
ATOMIC_POSITIONS crystal
Mg 0.000 0.000 0.316
Al 0.500 0.500 0.804
As 0.500 0.500 0.449
As 0.000 0.000 0.931
CELL_PARAMETERS angstrom
3.214 0.000 0.000
0.000 3.913 0.000
0.000 0.000 6.931
! Theoretical density (g/cm3): 3.83
! Total magnetic moment (μB per cell): 0.0
! Symmetry: Pmm2 (25)

Arrangement Q

! MgAlAs2 | the Alexandria database | PBE | optimized geometry; values from VASP
&SYSTEM
  ibrav = 0, nat = 4, ntyp = 3
/
ATOMIC_SPECIES
As 74.92 As.upf
Al 26.98 Al.upf
Mg 24.30 Mg.upf
ATOMIC_POSITIONS crystal
As 0.988 0.976 0.988
Al 0.250 0.750 0.500
As 0.512 0.524 0.012
Mg 0.750 0.250 0.500
CELL_PARAMETERS angstrom
3.816 -0.172 0.070
-1.004 5.785 1.283
-1.379 -1.806 3.071
! Theoretical density (g/cm3): 4.33
! Total magnetic moment (μB per cell): 0.0
! Symmetry: C2/m (12)

Arrangement R

! MgAlAs2 | the Alexandria database | PBE | optimized geometry; values from VASP
&SYSTEM
  ibrav = 0, nat = 4, ntyp = 3
/
ATOMIC_SPECIES
As 74.92 As.upf
Mg 24.30 Mg.upf
Al 26.98 Al.upf
ATOMIC_POSITIONS crystal
As 0.750 0.750 0.750
Mg 0.000 0.000 0.000
Al 0.500 0.500 0.500
As 0.250 0.250 0.250
CELL_PARAMETERS angstrom
2.398 -3.607 1.894
-2.126 -2.899 3.070
-1.022 -4.440 -1.261
! Theoretical density (g/cm3): 4.47
! Total magnetic moment (μB per cell): 0.0
! Symmetry: Fm-3m (225)

Arrangement S

! MgAlAs2 | the Alexandria database | PBE | optimized geometry; values from VASP
&SYSTEM
  ibrav = 0, nat = 4, ntyp = 3
/
ATOMIC_SPECIES
Mg 24.30 Mg.upf
As 74.92 As.upf
Al 26.98 Al.upf
ATOMIC_POSITIONS crystal
Mg 0.250 0.250 0.250
As 0.506 0.506 0.506
Al 0.750 0.750 0.750
As 0.994 0.994 0.994
CELL_PARAMETERS angstrom
9.613 0.035 0.020
9.108 3.076 0.020
9.108 1.513 2.678
! Theoretical density (g/cm3): 4.30
! Total magnetic moment (μB per cell): 0.0
! Symmetry: R-3m (166)

Most favorable structure: arrangement P. The second most favorable one is 0.023 eV/atom above it.